No. 1
The following is a DFT calculation (PBE) of a relaxed structure of Pr2SmEr2.

Cell and atoms, written as CIF:
```
data_Pr2SmEr2
_symmetry_space_group_name_H-M 'P 1'
_symmetry_Int_Tables_number 1
_cell_length_a 9.0660
_cell_length_b 9.0660
_cell_length_c 6.0987
_cell_angle_alpha 117.96
_cell_angle_beta 117.96
_cell_angle_gamma 96.01
loop_
_symmetry_equiv_pos_as_xyz
'x,y,z'
loop_
_atom_site_label
_atom_site_type_symbol
_atom_site_fract_x
_atom_site_fract_y
_atom_site_fract_z
_atom_site_occupancy
Sm1 Sm 0.9347 0.0653 0.7500 1
Pr1 Pr 0.2382 0.3928 0.5044 1
Er1 Er 0.6698 0.3302 0.7500 1
Pr2 Pr 0.7618 0.6072 0.4956 1
Er2 Er 0.8027 0.1973 0.2500 1
Pr3 Pr 0.3928 0.2382 0.0044 1
Er3 Er 0.1973 0.8027 0.7500 1
Pr4 Pr 0.6072 0.7618 0.9956 1
Er4 Er 0.3302 0.6698 0.2500 1
Sm2 Sm 0.0653 0.9347 0.2500 1
```

Output
Its energy is -43.98 eV for the cell shown. The calculation puts the offset from the most stable computed form at 275.2 meV per atom. As for the calculated formation energy: 0.28 eV per atom.

No. 2
The following is a DFT calculation (PBE) of a relaxed structure of Tb2BeNi4Ge3.

Cell and atoms, written as CIF:
```
data_Tb2BeNi4Ge3
_symmetry_space_group_name_H-M 'P 1'
_symmetry_Int_Tables_number 1
_cell_length_a 4.0104
_cell_length_b 4.0104
_cell_length_c 9.6574
_cell_angle_alpha 90.00
_cell_angle_beta 90.00
_cell_angle_gamma 90.00
loop_
_symmetry_equiv_pos_as_xyz
'x,y,z'
loop_
_atom_site_label
_atom_site_type_symbol
_atom_site_fract_x
_atom_site_fract_y
_atom_site_fract_z
_atom_site_occupancy
Ni1 Ni 0.0000 0.5000 0.3781 1
Ge1 Ge 0.5000 0.0000 0.8646 1
Ni2 Ni 0.0000 0.0000 0.0000 1
Ge2 Ge 0.0000 0.5000 0.1354 1
Ni3 Ni 0.5000 0.5000 0.0000 1
Ge3 Ge 0.0000 0.0000 0.5000 1
Tb1 Tb 0.0000 0.5000 0.7429 1
Tb2 Tb 0.5000 0.0000 0.2571 1
Ni4 Ni 0.5000 0.0000 0.6219 1
Be1 Be 0.5000 0.5000 0.5000 1
```

Output
Its energy is -56.30 eV for the cell shown. As for the calculated formation energy: -0.63 eV per atom.

No. 3
The following is a DFT calculation (PBE) of a relaxed structure of Y2TlV2.

Cell and atoms, written as CIF:
```
data_Y2TlV2
_symmetry_space_group_name_H-M 'P 1'
_symmetry_Int_Tables_number 1
_cell_length_a 7.8014
_cell_length_b 7.8014
_cell_length_c 3.8247
_cell_angle_alpha 90.00
_cell_angle_beta 90.00
_cell_angle_gamma 90.00
loop_
_symmetry_equiv_pos_as_xyz
'x,y,z'
loop_
_atom_site_label
_atom_site_type_symbol
_atom_site_fract_x
_atom_site_fract_y
_atom_site_fract_z
_atom_site_occupancy
Tl1 Tl 0.5000 0.5000 0.0000 1
V1 V 0.4145 0.9145 0.0000 1
V2 V 0.5855 0.0855 0.0000 1
V3 V 0.0855 0.4145 0.0000 1
Y1 Y 0.2005 0.7005 0.5000 1
Tl2 Tl 0.0000 0.0000 0.0000 1
Y2 Y 0.2995 0.2005 0.5000 1
Y3 Y 0.7005 0.7995 0.5000 1
V4 V 0.9145 0.5855 0.0000 1
Y4 Y 0.7995 0.2995 0.5000 1
```

Output
Its energy is -65.25 eV for the cell shown. As for the calculated formation energy: 0.18 eV per atom.

No. 4
The following is a DFT calculation (PBE) of a relaxed structure of Tb3Dy2Tm6Pb.

Cell and atoms, written as CIF:
```
data_Tb3Dy2Tm6Pb
_symmetry_space_group_name_H-M 'P 1'
_symmetry_Int_Tables_number 1
_cell_length_a 6.0483
_cell_length_b 6.0483
_cell_length_c 11.5758
_cell_angle_alpha 95.04
_cell_angle_beta 95.04
_cell_angle_gamma 120.03
loop_
_symmetry_equiv_pos_as_xyz
'x,y,z'
loop_
_atom_site_label
_atom_site_type_symbol
_atom_site_fract_x
_atom_site_fract_y
_atom_site_fract_z
_atom_site_occupancy
Dy1 Dy 0.3341 0.6659 0.0000 1
Tm1 Tm 0.5891 0.9184 0.7524 1
Pb1 Pb 0.0000 0.0000 0.0000 1
Tm2 Tm 0.4109 0.0816 0.2476 1
Tm3 Tm 0.0816 0.4109 0.2476 1
Tb1 Tb 0.1670 0.8330 0.5000 1
Tm4 Tm 0.2474 0.2474 0.7510 1
Tb2 Tb 0.8330 0.1670 0.5000 1
Tm5 Tm 0.7526 0.7526 0.2490 1
Tm6 Tm 0.9184 0.5891 0.7524 1
Tb3 Tb 0.5000 0.5000 0.5000 1
Dy2 Dy 0.6659 0.3341 0.0000 1
```

Output
Its energy is -54.24 eV for the cell shown. As for the calculated formation energy: -0.05 eV per atom.